(1)
Here is a relaxed Tb4Y2Tl3O2 crystal from the Alexandria database. Energies are from PBE.

Lattice parameters (Å, degrees): 4.705 4.705 24.922 90.00 90.00 90.00
Space group I4/mmm (No. 139)
One atom of each set of equivalent atoms:
Tb (0.000, 0.500, 0.086)
Y (0.000, 0.000, 0.197)
Tl (0.000, 0.000, 0.323)
Tl (0.000, 0.000, 0.500)
O (0.000, 0.000, 0.102)

Properties
- VASP energy (hartree per atom) = -0.2081
- energy relative to the elements, uncorrected (eV per atom) = -1.26

(2)
Here is a relaxed Tb2YTlO crystal from the Alexandria database. Energies are from PBE.

Lattice parameters (Å, degrees): 4.808 4.808 4.811 90.00 90.00 90.00
Space group P4/mmm (No. 123)
One atom of each set of equivalent atoms:
Tb (0.000, 0.500, 0.000)
Y (0.000, 0.000, 0.500)
Tl (0.500, 0.500, 0.500)
O (0.000, 0.000, 0.000)

Properties
- VASP energy (hartree per atom) = -0.2195
- energy relative to the elements, uncorrected (eV per atom) = -1.36

(3)
Here is a relaxed TbY2TlO crystal from the Alexandria database. Energies are from PBE.

Lattice parameters (Å, degrees): 4.806 4.806 4.804 90.00 90.00 90.00
Space group P4/mmm (No. 123)
One atom of each set of equivalent atoms:
Tb (0.000, 0.000, 0.000)
Y (0.000, 0.500, 0.500)
Tl (0.500, 0.500, 0.000)
O (0.000, 0.000, 0.500)

Properties
- VASP energy (hartree per atom) = -0.2330
- energy relative to the elements, uncorrected (eV per atom) = -1.36

(4)
Here is a relaxed TbTmO3 crystal from the Alexandria database. Energies are from PBE.

Lattice parameters (Å, degrees): 5.913 8.365 5.648 90.00 90.00 90.00
Space group Pnma (No. 62)
One atom of each set of equivalent atoms:
Tb (0.054, 0.250, 0.021)
Tm (0.000, 0.000, 0.500)
O (0.075, 0.750, 0.354)
O (0.191, 0.578, 0.813)

Properties
- VASP energy (hartree per atom) = -0.3064
- energy relative to the elements, uncorrected (eV per atom) = -3.54

(5)
Here is a relaxed Tb2TmO4 crystal from the Alexandria database. Energies are from PBE.

Lattice parameters (Å, degrees): 11.669 3.439 5.901 90.00 117.65 90.00
Space group C2/m (No. 12)
One atom of each set of equivalent atoms:
Tb (0.197, 0.000, 0.196)
Tm (0.000, 0.500, 0.500)
O (0.131, 0.500, 0.920)
O (0.142, 0.000, 0.521)

Properties
- VASP energy (hartree per atom) = -0.2947
- energy relative to the elements, uncorrected (eV per atom) = -3.22

(6)
Here is a relaxed Tb2TmO crystal from the Alexandria database. Energies are from PBE.

Lattice parameters (Å, degrees): 3.5423 3.5423 25.9145 90.00 90.00 120.00
Space group R-3m (No. 166, hexagonal axes)
One atom of each set of equivalent atoms:
Tb (0.0000, 0.0000, 0.2193)
Tm (0.0000, 0.0000, 0.0000)
O (0.0000, 0.0000, 0.5000)

Properties
- VASP energy (hartree per atom) = -0.2207
- energy relative to the elements, uncorrected (eV per atom) = -1.33
- ΔE to the lowest computed polymorph (eV per formula unit) = 0.00

(7)
Here is a relaxed TbTmO2 crystal from the Alexandria database. Energies are from PBE.

Lattice parameters (Å, degrees): 3.5458 3.5458 19.5116 90.00 90.00 120.00
Space group R-3m (No. 166, hexagonal axes)
One atom of each set of equivalent atoms:
Tb (0.0000, 0.0000, 0.0000)
Tm (0.0000, 0.0000, 0.5000)
O (0.0000, 0.0000, 0.1139)

Properties
- VASP energy (hartree per atom) = -0.2828
- energy relative to the elements, uncorrected (eV per atom) = -2.94

(8)
Here is a relaxed TbTmO3 crystal from the Alexandria database. Energies are from PBE.

Lattice parameters (Å, degrees): 5.9304 5.9304 3.0349 90.00 90.00 120.00
Space group P-6m2 (No. 187)
One atom of each set of equivalent atoms:
Tb (0.0000, 0.0000, 0.0000)
Tm (0.3333, 0.6667, 0.0000)
O (0.1694, 0.3388, 0.5000)

Properties
- VASP energy (hartree per atom) = -0.3015
- energy relative to the elements, uncorrected (eV per atom) = -3.41

(9)
Here is a relaxed TbTmO3 crystal from the Alexandria database. Energies are from PBE.

Lattice parameters (Å, degrees): 5.5871 5.5871 16.3266 90.00 90.00 120.00
Space group R32 (No. 155, hexagonal axes)
One atom of each set of equivalent atoms:
Tb (0.0000, 0.0000, 0.1446)
Tm (0.0000, 0.0000, 0.3515)
O (0.0091, 0.2979, 0.2508)

Properties
- VASP energy (hartree per atom) = -0.3019
- energy relative to the elements, uncorrected (eV per atom) = -3.42

(10)
Here is a relaxed TbTm3O crystal from the Alexandria database. Energies are from PBE.

Lattice parameters (Å, degrees): 4.875 4.875 4.875 90.00 90.00 90.00
Space group Pm-3m (No. 221)
One atom of each set of equivalent atoms:
Tb (0.000, 0.000, 0.000)
Tm (0.000, 0.500, 0.500)
O (0.500, 0.500, 0.500)

Properties
- VASP energy (hartree per atom) = -0.2090
- energy relative to the elements, uncorrected (eV per atom) = -1.09

(11)
Here is a relaxed Tb3TmO6 crystal from the Alexandria database. Energies are from PBE.

Lattice parameters (Å, degrees): 9.6598 9.6598 11.3118 90.00 90.00 120.00
Space group R-3 (No. 148, hexagonal axes)
One atom of each set of equivalent atoms:
Tb (0.0394, 0.2661, 0.2090)
Tm (0.0000, 0.0000, 0.0000)
Tm (0.0000, 0.0000, 0.5000)
O (0.0270, 0.2158, 0.4034)
O (0.0279, 0.1868, 0.8731)

Properties
- VASP energy (hartree per atom) = -0.3085
- energy relative to the elements, uncorrected (eV per atom) = -3.58

(12)
Here is a relaxed Tb2TmO crystal from the Alexandria database. Energies are from PBE.

Lattice parameters (Å, degrees): 3.193 3.193 8.666 90.00 90.00 90.00
Space group P4/mmm (No. 123)
One atom of each set of equivalent atoms:
Tb (0.000, 0.000, 0.176)
Tm (0.500, 0.500, 0.500)
O (0.500, 0.500, 0.000)

Properties
- VASP energy (hartree per atom) = -0.2024
- energy relative to the elements, uncorrected (eV per atom) = -0.84
- ΔE to the lowest computed polymorph (eV per formula unit) = 1.99

(13)
Here is a relaxed TbTm3O6 crystal from the Alexandria database. Energies are from PBE.

Lattice parameters (Å, degrees): 9.5221 9.5221 11.2517 90.00 90.00 120.00
Space group R-3 (No. 148, hexagonal axes)
One atom of each set of equivalent atoms:
Tb (0.0000, 0.0000, 0.0000)
Tb (0.0000, 0.0000, 0.5000)
Tm (0.0385, 0.7734, 0.2102)
O (0.0246, 0.8034, 0.4019)
O (0.0282, 0.8394, 0.8668)

Properties
- VASP energy (hartree per atom) = -0.3079
- energy relative to the elements, uncorrected (eV per atom) = -3.60

(14)
Here is a relaxed TbTm2UO8 crystal from the Alexandria database. Energies are from PBE.

Lattice parameters (Å, degrees): 3.844 5.265 7.496 90.00 90.00 90.00
Space group Pmmm (No. 47)
One atom of each set of equivalent atoms:
Tb (0.000, 0.000, 0.000)
Tm (0.500, 0.500, 0.250)
U (0.000, 0.000, 0.500)
O (0.000, 0.245, 0.271)
O (0.500, 0.236, 0.500)
O (0.500, 0.256, 0.000)

Properties
- VASP energy (hartree per atom) = -0.3191
- energy relative to the elements, uncorrected (eV per atom) = -3.31